Entry 1:
The following is a DFT calculation (PBE) of a geometry-optimized CaAl2Ir structure.

ΔH_f (0 K) in eV/atom: -0.2043

CIF file:
```
data_CaAl2Ir
_space_group_name_H-M_alt 'I m m 2'
_space_group_IT_number 44
_cell_length_a 3.941
_cell_length_b 4.474
_cell_length_c 8.371
_cell_angle_alpha 90.00
_cell_angle_beta 90.00
_cell_angle_gamma 90.00
loop_
_space_group_symop_operation_xyz
'x,y,z'
'-x,-y,z'
'-x,y,z'
'x,-y,z'
'x+1/2,y+1/2,z+1/2'
'-x+1/2,-y+1/2,z+1/2'
'-x+1/2,y+1/2,z+1/2'
'x+1/2,-y+1/2,z+1/2'
loop_
_atom_site_label
_atom_site_fract_x
_atom_site_fract_y
_atom_site_fract_z
Ca1 0.000 0.000 0.000
Al1 0.000 0.000 0.453
Al2 0.000 0.500 0.231
Ir1 0.000 0.500 0.758
```



Entry 2:
The following is a DFT calculation (PBE) of a geometry-optimized Nb3SiH2 structure.

Uncorrected energy in hartree per atom: -0.267

CIF file:
```
data_Nb3SiH2
_space_group_name_H-M_alt 'P 1 21/m 1'
_space_group_IT_number 11
_cell_length_a 5.038
_cell_length_b 3.358
_cell_length_c 9.065
_cell_angle_alpha 90.00
_cell_angle_beta 94.92
_cell_angle_gamma 90.00
loop_
_space_group_symop_operation_xyz
'x,y,z'
'-x,-y,-z'
'-x,y+1/2,-z'
'x,-y+1/2,z'
loop_
_atom_site_label
_atom_site_fract_x
_atom_site_fract_y
_atom_site_fract_z
Nb1 0.006 0.250 0.156
Nb2 0.234 0.250 0.566
Nb3 0.483 0.250 0.874
Si1 0.252 0.750 0.351
H1 0.314 0.750 0.731
H2 0.343 0.250 0.068
```



Entry 3:
The following is a DFT calculation (PBE) of a geometry-optimized TlTePdS2 structure.

ΔE_f (raw) in eV per atom: 1.024

CIF file:
```
data_TlTePdS2
_space_group_name_H-M_alt 'P 4/m m m'
_space_group_IT_number 123
_space_group_name_Hall '-P 4 2'
_cell_length_a 4.961
_cell_length_b 4.961
_cell_length_c 6.035
_cell_angle_alpha 90.00
_cell_angle_beta 90.00
_cell_angle_gamma 90.00
loop_
_atom_site_label
_atom_site_fract_x
_atom_site_fract_y
_atom_site_fract_z
Tl1 0.000 0.000 0.000
Te1 0.000 0.000 0.500
Pd1 0.500 0.500 0.500
S1 0.000 0.500 0.000
```



Entry 4:
The following is a DFT calculation (PBE) of a geometry-optimized NaLaTbMg structure.

ΔH_f (0 K) in eV/atom: 0.1479

CIF file:
```
data_NaLaTbMg
_space_group_name_H-M_alt 'F -4 3 m'
_space_group_IT_number 216
_space_group_name_Hall 'F -4 2 3'
_cell_length_a 7.945
_cell_length_b 7.945
_cell_length_c 7.945
_cell_angle_alpha 90.00
_cell_angle_beta 90.00
_cell_angle_gamma 90.00
loop_
_atom_site_label
_atom_site_fract_x
_atom_site_fract_y
_atom_site_fract_z
Na1 0.000 0.000 0.000
La1 0.250 0.250 0.750
Tb1 0.250 0.250 0.250
Mg1 0.000 0.000 0.500
```



| no. | total moment (μB/f.u.) |
| --- | --- |
| 1 | 0.000 |
| 2 | 0.000 |
| 3 | 0.006 |
| 4 | 0.000 |